DyTmH2I4: relaxed, GGA-PBE.

Space-group type   P-6m2
Final energy   -3.916 eV/atom

The structure in POSCAR format:
```
DyTmH2I4
1.0
-0.6225 -1.3249 -3.6905
2.8551 -1.6177 2.2348
-10.8068 -11.0666 5.7958
H Tm Dy I
2 1 1 4
Cartesian
0.5367 -1.4225 -1.7154 H
-3.7075 -7.0534 3.1576 H
-5.4034 -5.5333 2.8979 Tm
0.0000 0.0000 0.0000 Dy
-7.7207 -11.1631 5.3099 I
-3.5029 -5.5593 0.4511 I
0.3057 -2.9437 1.0053 I
-6.2304 -8.3523 1.9139 I
```